# GGA-PBE CaHfZnIr, relaxed
data_CaHfZnIr
_symmetry_space_group_name_H-M 'P 1'
_symmetry_Int_Tables_number 1
_symmetry_space_group_name_Hall 'P 1'
_cell_length_a 4.7636
_cell_length_b 4.7636
_cell_length_c 4.7636
_cell_angle_alpha 60.00
_cell_angle_beta 60.00
_cell_angle_gamma 60.00
loop_
_atom_site_label
_atom_site_fract_x
_atom_site_fract_y
_atom_site_fract_z
Ca1 0.0000 0.0000 0.0000
Hf1 0.5000 0.5000 0.5000
Zn1 0.2500 0.2500 0.2500
Ir1 0.7500 0.7500 0.7500
# * ΔE_f: -0.34 eV per atom
# * ρ: 10.35 g/cm3